1.
Ho6InIr5 (PBE-GGA, optimized geometry); calculated total energy = -83.624 eV for the cell shown; space-group type = P2/m, No. 10; crystal system = monoclinic
1.0
4.8160 0.0000 0.0000
0.0000 7.1512 0.0000
-2.3273 0.0000 7.2317
Ho In Ir
6 1 5
Cartesian
0.0000 1.6735 0.0000 Ho
0.0000 5.4778 0.0000 Ho
0.0503 1.7508 4.7369 Ho
0.0503 5.4004 4.7369 Ho
2.4384 1.7508 2.4948 Ho
2.4384 5.4004 2.4948 Ho
2.4080 3.5756 0.0000 In
0.0260 3.5756 2.3298 Ir
0.0267 0.0000 2.4207 Ir
2.4080 0.0000 0.0000 Ir
2.4619 0.0000 4.8110 Ir
2.4627 3.5756 4.9019 Ir

---

2.
Th2CuNiPt (PBE-GGA, optimized geometry); calculated total energy = -67.059 eV for the cell shown; space-group type = P2_1/m, No. 11; crystal system = monoclinic
1.0
7.0324 0.0000 0.0000
0.0000 4.3628 0.0000
-2.2204 0.0000 6.8743
Th Cu Ni Pt
4 2 2 2
Cartesian
-0.0764 1.0907 1.4008 Th
1.1234 3.2721 4.4507 Th
3.6886 1.0907 2.4236 Th
4.8884 3.2721 5.4735 Th
2.0372 3.2721 1.1704 Cu
2.7748 1.0907 5.7039 Cu
-0.8502 1.0907 4.0116 Ni
5.6622 3.2721 2.8626 Ni
0.0847 1.0907 6.4849 Pt
4.7273 3.2721 0.3894 Pt

---

3.
TiNiIrRu (PBE-GGA, optimized geometry); energy relative to the lowest polymorph listed for this composition = 0 meV/atom; space-group type = Pmmm, No. 47; crystal system = orthorhombic
1.0
3.6845 0.0000 0.0000
0.0000 3.8253 0.0000
0.0000 0.0000 3.8631
Ti Ni Ir Ru
1 1 1 1
Cartesian
0.0000 0.0000 0.0000 Ti
0.0000 1.9126 1.9316 Ni
1.8423 0.0000 1.9316 Ir
1.8423 1.9126 0.0000 Ru

---

4.
PmNd2YBi5 (PBE-GGA, optimized geometry); calculated total energy = -40.614 eV for the cell shown; space-group type = P4/mmm, No. 123; crystal system = tetragonal
1.0
5.5456 0.0000 0.0000
0.0000 5.5456 0.0000
0.0000 0.0000 11.9552
Pm Nd Y Bi
1 2 1 5
Cartesian
0.0000 0.0000 0.0000 Pm
2.7728 2.7728 2.6890 Nd
2.7728 2.7728 9.2662 Nd
0.0000 0.0000 5.9776 Y
0.0000 0.0000 3.0652 Bi
0.0000 0.0000 8.8901 Bi
0.0000 2.7728 0.0000 Bi
2.7728 0.0000 0.0000 Bi
2.7728 2.7728 5.9776 Bi